Entry 1:
16
Lattice="8.001 0.000 0.000 0.000 6.582 0.000 0.000 0.000 4.882" Properties=species:S:1:pos:R:3 comment="DyErNO | OQMD | GGA-PBE | optimized geometry" total_energy_ev_per_fu=-31.38 sg=Pbcm magnetic_moment_mub_per_fu=0.0 de_polymorph_ev_per_atom=0.019 rho_kg_m3=9294 pbc="T T T"
Dy 0.982 0.454 1.221
Dy 0.982 2.837 3.662
Dy 7.019 3.745 1.221
Dy 7.019 6.128 3.662
Er 2.993 3.846 1.221
Er 2.993 6.027 3.662
Er 5.008 0.555 1.221
Er 5.008 2.736 3.662
N 3.017 3.763 3.662
N 3.017 6.110 1.221
N 4.983 0.472 3.662
N 4.983 2.819 1.221
O 1.086 0.612 3.662
O 1.086 2.680 1.221
O 6.914 3.903 3.662
O 6.914 5.971 1.221

Entry 2:
8
Lattice="4.838 0.000 0.000 0.000 3.936 0.000 0.000 0.000 6.841" Properties=species:S:1:pos:R:3 comment="DyErNO | OQMD | GGA-PBE | optimized geometry" total_energy_ev_per_fu=-31.39 sg=Pmma magnetic_moment_mub_per_fu=0.0 de_polymorph_ev_per_atom=0.015 rho_kg_m3=9171 pbc="T T T"
Dy 1.210 0.000 1.137
Dy 3.629 0.000 5.703
Er 1.210 1.968 4.560
Er 3.629 1.968 2.281
N 1.210 0.000 5.697
N 3.629 0.000 1.144
O 1.210 1.968 2.276
O 3.629 1.968 4.565

Entry 3:
8
Lattice="4.364 0.000 0.000 0.000 4.364 0.000 0.000 0.000 7.856" Properties=species:S:1:pos:R:3 comment="DyErNO | OQMD | GGA-PBE | optimized geometry" total_energy_ev_per_fu=-29.78 sg=P4/nmm magnetic_moment_mub_per_fu=0.0 de_polymorph_ev_per_atom=0.417 rho_kg_m3=7985 pbc="T T T"
Dy 1.091 1.091 0.742
Dy 3.273 3.273 7.113
Er 1.091 3.273 3.928
Er 3.273 1.091 3.928
N 1.091 1.091 4.550
N 3.273 3.273 3.306
O 1.091 3.273 0.000
O 3.273 1.091 0.000

Entry 4:
8
Lattice="4.248 0.000 0.000 0.000 4.248 0.000 0.000 0.000 7.733" Properties=species:S:1:pos:R:3 comment="DyErNO | OQMD | GGA-PBE | optimized geometry" total_energy_ev_per_fu=-29.48 sg=P4/nmm magnetic_moment_mub_per_fu=0.6 de_polymorph_ev_per_atom=0.493 rho_kg_m3=8562 pbc="T T T"
Dy 1.062 3.186 0.000
Dy 3.186 1.062 0.000
Er 1.062 1.062 3.102
Er 3.186 3.186 4.631
N 1.062 1.062 6.773
N 3.186 3.186 0.959
O 1.062 3.186 3.866
O 3.186 1.062 3.866

Entry 5:
16
Lattice="8.032 0.000 0.000 0.000 6.545 0.000 0.000 0.000 4.901" Properties=species:S:1:pos:R:3 comment="DyErNO | OQMD | GGA-PBE | optimized geometry" total_energy_ev_per_fu=-31.30 sg=Pbcm magnetic_moment_mub_per_fu=0.0 de_polymorph_ev_per_atom=0.037 rho_kg_m3=9275 pbc="T T T"
Dy 1.027 0.536 1.225
Dy 1.027 2.736 3.676
Dy 7.005 3.809 1.225
Dy 7.005 6.008 3.676
Er 3.041 3.725 1.225
Er 3.041 6.092 3.676
Er 4.991 0.453 1.225
Er 4.991 2.820 3.676
N 1.021 0.439 3.676
N 1.021 2.833 1.225
N 7.010 3.711 3.676
N 7.010 6.106 1.225
O 2.980 3.895 3.676
O 2.980 5.922 1.225
O 5.051 0.622 3.676
O 5.051 2.650 1.225

Entry 6:
8
Lattice="4.821 0.000 0.000 0.000 3.941 0.000 0.000 0.000 6.840" Properties=species:S:1:pos:R:3 comment="DyErNO | OQMD | GGA-PBE | optimized geometry" total_energy_ev_per_fu=-31.45 sg=Pmma magnetic_moment_mub_per_fu=0.0 de_polymorph_ev_per_atom=0.000 rho_kg_m3=9194 pbc="T T T"
Dy 1.205 0.000 1.125
Dy 3.616 0.000 5.715
Er 1.205 1.970 4.562
Er 3.616 1.970 2.278
N 1.205 1.970 2.313
N 3.616 1.970 4.527
O 1.205 0.000 5.614
O 3.616 0.000 1.226

Entry 7:
8
Lattice="3.538 0.000 0.000 -1.769 3.064 0.000 0.000 0.000 15.572" Properties=species:S:1:pos:R:3 comment="Dy3ErPb2N2 | OQMD | GGA-PBE | optimized geometry" total_energy_ev_per_fu=-51.26 sg=P3m1 magnetic_moment_mub_per_fu=0.0 rho_kg_m3=10794 pbc="T T T"
Dy 0.000 0.000 0.000
Dy 0.000 0.000 5.191
Dy 1.769 1.021 12.968
Er 1.769 1.021 7.774
Pb 0.000 0.000 10.360
Pb 1.769 1.021 2.598
N 0.000 2.043 6.518
N 0.000 2.043 14.270

Entry 8:
8
Lattice="3.529 0.000 0.000 -1.765 3.056 0.000 0.000 0.000 15.518" Properties=species:S:1:pos:R:3 comment="DyErPbN | OQMD | GGA-PBE | optimized geometry" total_energy_ev_per_fu=-25.62 sg=P-6m2 magnetic_moment_mub_per_fu=0.0 rho_kg_m3=10931 pbc="T T T"
Dy 0.000 0.000 2.590
Dy 0.000 0.000 12.928
Er 1.765 1.019 5.174
Er 1.765 1.019 10.344
Pb 0.000 0.000 7.759
Pb 1.765 1.019 0.000
N 0.000 2.038 3.919
N 0.000 2.038 11.599